The following is a PBE-GGA calculation of crystalline Ti5Ga2Co at its relaxed geometry, from Alexandria.

Cell lengths 3.925, 4.907, 14.204 Å; angles 90.00, 90.00, 113.58 degrees
Positions (direct):
Ti 0.443 0.886 0.250
Ti 0.338 0.676 0.040
Ti 0.038 0.076 0.401
Ti 0.557 0.114 0.750
Ti 0.338 0.676 0.460
Ti 0.662 0.324 0.540
Ti 0.962 0.924 0.901
Ti 0.038 0.076 0.099
Ti 0.662 0.324 0.960
Ti 0.962 0.924 0.599
Co 0.147 0.294 0.250
Co 0.853 0.706 0.750
Ga 0.740 0.479 0.344
Ga 0.740 0.479 0.156
Ga 0.260 0.521 0.844
Ga 0.260 0.521 0.656

**Calculated total energy**: -6.886 eV/atom
**Spin magnetization**: 0.00 μB per formula unit
**Space-group type**: Cmcm
**E_form**: -307 meV per atom


The following is a PBE-GGA calculation of crystalline TiGaCo at its relaxed geometry, from Alexandria.

Cell lengths 2.797, 4.134, 4.134 Å; angles 120.00, 90.00, 90.00 degrees
Last column: magnetic moment on the atom in μB.
Positions (direct):
Ga 0.168 0.667 0.333  0.00
Ti 0.668 0.333 0.667  0.09
Co 0.164 0.000 0.000  0.00

**Calculated total energy**: -6.394 eV/atom
**Spin magnetization**: 0.11 μB per formula unit
**Space-group type**: P3m1
**E_form**: -385 meV per atom


The following is a PBE-GGA calculation of crystalline TiGa2Co at its relaxed geometry, from Alexandria.

Cell lengths 2.884, 2.884, 6.678 Å; angles 90.00, 90.00, 90.00 degrees
Last column: magnetic moment on the atom in μB.
Positions (direct):
Ti 0.500 0.500 0.500  0.03
Co 0.500 0.500 0.000  0.47
Ga 0.000 0.000 0.784  0.00
Ga 0.000 0.000 0.216  0.00

**Calculated total energy**: -5.619 eV/atom
**Spin magnetization**: 0.49 μB per formula unit
**Space-group type**: P4/mmm
**E_form**: -355 meV per atom


The following is a PBE-GGA calculation of crystalline Ti4GaCo2 at its relaxed geometry, from Alexandria.

Cell lengths 4.012, 4.012, 8.500 Å; angles 76.35, 76.35, 60.00 degrees
Positions (direct):
Ti 0.612 0.612 0.165
Ti 0.201 0.201 0.396
Ti 0.799 0.799 0.604
Ti 0.388 0.388 0.835
Co 0.099 0.099 0.702
Co 0.901 0.901 0.298
Ga 0.000 0.000 0.000

**Calculated total energy**: -7.059 eV/atom
**Spin magnetization**: 0.00 μB per formula unit
**Space-group type**: R-3m
**E_form**: -85 meV per atom


The following is a PBE-GGA calculation of crystalline TiGa2Co at its relaxed geometry, from Alexandria.

Cell lengths 4.289, 4.289, 4.289 Å; angles 60.00, 60.00, 60.00 degrees
Last column: magnetic moment on the atom in μB.
Positions (direct):
Co 0.500 0.500 0.500  0.73
Ga 0.250 0.250 0.250  0.00
Ga 0.750 0.750 0.750  0.00
Ti 0.000 0.000 0.000  0.49

**Calculated total energy**: -5.508 eV/atom
**Spin magnetization**: 1.24 μB per formula unit
**Space-group type**: Fm-3m
**E_form**: -244 meV per atom


The following is a PBE-GGA calculation of crystalline TiGaCo3 at its relaxed geometry, from Alexandria.

Cell lengths 4.265, 4.265, 4.265 Å; angles 90.00, 90.00, 90.00 degrees
Last column: magnetic moment on the atom in μB.
Positions (direct):
Ti 0.500 0.500 0.500  -0.84
Co 0.000 0.500 0.000  1.14
Co 0.000 0.000 0.500  1.25
Co 0.500 0.000 0.000  1.19
Ga 0.000 0.000 0.000  -0.07

**Calculated total energy**: -5.702 eV/atom
**Spin magnetization**: 2.34 μB per formula unit
**Space-group type**: Pm-3m
**ΔE to the lowest computed polymorph**: 0.6008 eV/atom
**E_form**: 746 meV per atom


The following is a PBE-GGA calculation of crystalline Ti6GaCo2 at its relaxed geometry, from Alexandria.

Cell lengths 7.143, 7.143, 7.143 Å; angles 107.96, 111.55, 108.93 degrees
Last column: magnetic moment on the atom in μB.
Positions (direct):
Co 0.650 0.000 0.650  0.01
Co 0.500 0.640 0.140  -0.02
Co 0.500 0.360 0.860  -0.02
Co 0.350 0.000 0.350  0.01
Ti 0.216 0.756 0.972  0.07
Ti 0.721 0.036 0.316  0.04
Ti 0.721 0.405 0.684  0.04
Ti 0.471 0.281 0.190  0.11
Ti 0.216 0.244 0.460  0.07
Ti 0.909 0.719 0.190  0.11
Ti 0.279 0.964 0.684  0.04
Ti 0.529 0.719 0.810  0.11
Ti 0.279 0.595 0.316  0.04
Ti 0.784 0.756 0.540  0.07
Ti 0.091 0.281 0.810  0.11
Ti 0.784 0.244 0.028  0.07
Ga 0.000 0.000 0.000  0.00
Ga 0.000 0.500 0.500  -0.01

**Calculated total energy**: -7.429 eV/atom
**Spin magnetization**: 0.54 μB per formula unit
**Space-group type**: Immm
**E_form**: -250 meV per atom


The following is a PBE-GGA calculation of crystalline Ti3GaCo at its relaxed geometry, from Alexandria.

Cell lengths 4.675, 4.675, 9.242 Å; angles 104.65, 104.65, 90.00 degrees
Positions (direct):
Ga 0.542 0.042 0.084
Ga 0.958 0.458 0.916
Co 0.250 0.750 0.500
Co 0.000 0.000 0.000
Ti 0.119 0.370 0.239
Ti 0.280 0.280 0.559
Ti 0.119 0.869 0.239
Ti 0.720 0.720 0.441
Ti 0.131 0.881 0.761
Ti 0.630 0.881 0.761

**Calculated total energy**: -6.481 eV/atom
**Spin magnetization**: 0.00 μB per formula unit
**Space-group type**: I-4m2
**ΔE to the lowest computed polymorph**: 0.1699 eV/atom
**E_form**: 282 meV per atom


The following is a PBE-GGA calculation of crystalline TiGa4Co5 at its relaxed geometry, from Alexandria.

Cell lengths 2.944, 2.944, 14.086 Å; angles 90.00, 90.00, 90.00 degrees
Last column: magnetic moment on the atom in μB.
Positions (direct):
Co 0.500 0.500 0.301  0.41
Co 0.500 0.500 0.699  0.41
Co 0.500 0.500 0.900  0.04
Co 0.500 0.500 0.500  0.11
Co 0.500 0.500 0.100  0.04
Ga 0.000 0.000 0.798  -0.01
Ga 0.000 0.000 0.202  -0.01
Ga 0.000 0.000 0.600  -0.01
Ga 0.000 0.000 0.400  -0.01
Ti 0.000 0.000 0.000  0.00

**Calculated total energy**: -5.887 eV/atom
**Spin magnetization**: 0.93 μB per formula unit
**Space-group type**: P4/mmm
**E_form**: -334 meV per atom


The following is a PBE-GGA calculation of crystalline TiGaCo at its relaxed geometry, from Alexandria.

Cell lengths 2.884, 6.223, 6.223 Å; angles 120.54, 76.60, 76.60 degrees
Positions (direct):
Ga 0.500 0.631 0.369
Ga 0.500 0.369 0.631
Ti 0.000 0.843 0.157
Ti 0.000 0.157 0.843
Co 0.269 0.231 0.231
Co 0.731 0.769 0.769

**Calculated total energy**: -6.367 eV/atom
**Spin magnetization**: 0.00 μB per formula unit
**Space-group type**: Immm
**E_form**: -357 meV per atom


The following is a PBE-GGA calculation of crystalline Ti3GaCo4 at its relaxed geometry, from Alexandria.

Cell lengths 4.164, 4.164, 7.268 Å; angles 73.35, 73.35, 60.00 degrees
Last column: magnetic moment on the atom in μB.
Positions (direct):
Ti 0.254 0.254 0.238  -0.08
Ti 0.746 0.746 0.762  -0.08
Ti 0.500 0.500 0.500  -0.14
Co 0.622 0.622 0.135  0.74
Co 0.378 0.378 0.865  0.74
Co 0.127 0.127 0.619  0.91
Co 0.873 0.873 0.381  0.91
Ga 0.000 0.000 0.000  0.01

**Calculated total energy**: -7.349 eV/atom
**Spin magnetization**: 2.87 μB per formula unit
**Space-group type**: R-3m
**E_form**: -457 meV per atom


The following is a PBE-GGA calculation of crystalline Ti4Ga3Co at its relaxed geometry, from Alexandria.

Cell lengths 2.813, 2.813, 15.230 Å; angles 90.00, 90.00, 90.00 degrees
Last column: magnetic moment on the atom in μB.
Positions (direct):
Ga 0.500 0.500 0.500  0.00
Ga 0.500 0.500 0.760  0.00
Ga 0.500 0.500 0.240  0.00
Ti 0.000 0.000 0.892  0.10
Ti 0.000 0.000 0.108  0.10
Ti 0.000 0.000 0.370  0.00
Ti 0.000 0.000 0.630  0.00
Co 0.500 0.500 0.000  0.10

**Calculated total energy**: -6.400 eV/atom
**Spin magnetization**: 0.33 μB per formula unit
**Space-group type**: P4/mmm
**ΔE to the lowest computed polymorph**: 0.0000 eV/atom
**E_form**: -429 meV per atom


The following is a PBE-GGA calculation of crystalline Ti4Ga3Co at its relaxed geometry, from Alexandria.

Cell lengths 3.068, 4.046, 10.008 Å; angles 90.00, 90.00, 90.00 degrees
Positions (direct):
Ti 0.500 0.500 0.320
Ti 0.500 0.000 0.666
Ti 0.000 0.500 0.849
Ti 0.000 0.000 0.147
Ga 0.000 0.000 0.419
Ga 0.000 0.500 0.578
Ga 0.500 0.000 0.930
Co 0.500 0.500 0.091

**Calculated total energy**: -6.373 eV/atom
**Spin magnetization**: 0.00 μB per formula unit
**Space-group type**: Pmm2
**ΔE to the lowest computed polymorph**: 0.0274 eV/atom
**E_form**: -402 meV per atom


The following is a PBE-GGA calculation of crystalline Ti5Ga12Co2 at its relaxed geometry, from Alexandria.

Cell lengths 6.452, 7.414, 7.228 Å; angles 78.65, 90.00, 115.79 degrees
Positions (direct):
Ga 0.131 0.675 0.893
Ga 0.966 0.931 0.853
Ga 0.544 0.675 0.893
Ga 0.116 0.681 0.527
Ga 0.484 0.968 0.308
Ga 0.565 0.681 0.527
Ga 0.869 0.325 0.107
Ga 0.516 0.032 0.692
Ga 0.456 0.325 0.107
Ga 0.034 0.069 0.147
Ga 0.884 0.319 0.473
Ga 0.435 0.319 0.473
Ti 0.827 0.655 0.227
Ti 0.173 0.345 0.773
Ti 0.708 0.417 0.768
Ti 0.000 0.000 0.500
Ti 0.292 0.583 0.232
Co 0.315 0.000 0.000
Co 0.685 0.000 0.000

**Calculated total energy**: -4.904 eV/atom
**Spin magnetization**: 0.01 μB per formula unit
**Space-group type**: C2/m
**E_form**: -167 meV per atom


The following is a PBE-GGA calculation of crystalline Ti2GaCo3 at its relaxed geometry, from Alexandria.

Cell lengths 4.151, 4.151, 10.228 Å; angles 90.00, 90.00, 120.00 degrees
Last column: magnetic moment on the atom in μB.
Positions (direct):
Co 0.333 0.667 0.920  0.88
Co 0.000 0.000 0.753  0.73
Co 0.333 0.667 0.419  0.70
Co 0.667 0.333 0.080  0.88
Co 0.667 0.333 0.581  0.70
Co 0.000 0.000 0.247  0.73
Ti 0.000 0.000 0.500  -0.10
Ti 0.000 0.000 0.000  -0.14
Ti 0.333 0.667 0.176  -0.13
Ti 0.667 0.333 0.824  -0.13
Ga 0.333 0.667 0.665  0.00
Ga 0.667 0.333 0.335  0.00

**Calculated total energy**: -7.166 eV/atom
**Spin magnetization**: 1.96 μB per formula unit
**Space-group type**: P-3m1
**ΔE to the lowest computed polymorph**: 0.0000 eV/atom
**E_form**: -477 meV per atom


The following is a PBE-GGA calculation of crystalline Ti3GaCo at its relaxed geometry, from Alexandria.

Cell lengths 4.632, 4.632, 4.632 Å; angles 90.00, 90.00, 90.00 degrees
Positions (direct):
Ti 0.000 0.500 0.000
Ti 0.000 0.000 0.500
Ti 0.500 0.000 0.000
Ga 0.000 0.000 0.000
Co 0.500 0.500 0.500

**Calculated total energy**: -5.740 eV/atom
**Spin magnetization**: 0.00 μB per formula unit
**Space-group type**: Pm-3m
**ΔE to the lowest computed polymorph**: 0.9113 eV/atom
**E_form**: 1024 meV per atom


The following is a PBE-GGA calculation of crystalline TiGa2Co at its relaxed geometry, from Alexandria.

Cell lengths 4.010, 4.010, 4.765 Å; angles 65.12, 65.12, 60.00 degrees
Positions (direct):
Ga 0.729 0.729 0.813
Ga 0.271 0.271 0.187
Co 0.000 0.000 0.000
Ti 0.500 0.500 0.500

**Calculated total energy**: -5.528 eV/atom
**Spin magnetization**: 0.00 μB per formula unit
**Space-group type**: R-3m
**E_form**: -264 meV per atom


The following is a PBE-GGA calculation of crystalline Ti3Ga4Co at its relaxed geometry, from Alexandria.

Cell lengths 5.278, 5.412, 8.544 Å; angles 90.00, 90.00, 90.00 degrees
Positions (direct):
Ga 0.794 0.402 0.000
Ga 0.909 0.138 0.243
Ga 0.683 0.329 0.500
Ga 0.294 0.598 0.500
Ga 0.909 0.138 0.757
Ga 0.183 0.671 0.000
Ga 0.409 0.862 0.743
Ga 0.409 0.862 0.257
Co 0.708 0.878 0.500
Co 0.208 0.122 0.000
Ti 0.414 0.353 0.797
Ti 0.684 0.886 0.000
Ti 0.184 0.114 0.500
Ti 0.914 0.647 0.703
Ti 0.914 0.647 0.297
Ti 0.414 0.353 0.203

**Calculated total energy**: -5.708 eV/atom
**Spin magnetization**: 0.00 μB per formula unit
**Space-group type**: Pmn2_1
**E_form**: -346 meV per atom


The following is a PBE-GGA calculation of crystalline Ti5GaCo4 at its relaxed geometry, from Alexandria.

Cell lengths 2.936, 2.936, 15.918 Å; angles 90.00, 90.00, 90.00 degrees
Last column: magnetic moment on the atom in μB.
Positions (direct):
Co 0.000 0.000 0.593  0.05
Co 0.000 0.000 0.221  0.76
Co 0.000 0.000 0.407  0.05
Co 0.000 0.000 0.779  0.76
Ti 0.500 0.500 0.500  0.00
Ti 0.500 0.500 0.881  0.19
Ti 0.500 0.500 0.311  -0.05
Ti 0.500 0.500 0.119  0.19
Ti 0.500 0.500 0.689  -0.05
Ga 0.000 0.000 0.000  0.01

**Calculated total energy**: -7.477 eV/atom
**Spin magnetization**: 1.93 μB per formula unit
**Space-group type**: P4/mmm
**E_form**: -385 meV per atom


The following is a PBE-GGA calculation of crystalline Ti12Ga5Co2 at its relaxed geometry, from Alexandria.

Cell lengths 7.176, 7.422, 6.805 Å; angles 85.30, 90.00, 118.91 degrees
Positions (direct):
Ga 0.345 0.691 0.097
Ga 0.745 0.491 0.271
Ga 0.255 0.509 0.729
Ga 0.000 0.000 0.500
Ga 0.655 0.309 0.903
Ti 0.974 0.314 0.132
Ti 0.574 0.721 0.423
Ti 0.147 0.721 0.423
Ti 0.948 0.896 0.156
Ti 0.052 0.104 0.844
Ti 0.026 0.686 0.868
Ti 0.659 0.686 0.868
Ti 0.341 0.314 0.132
Ti 0.468 0.936 0.709
Ti 0.853 0.279 0.577
Ti 0.426 0.279 0.577
Ti 0.532 0.064 0.291
Co 0.309 0.000 0.000
Co 0.691 0.000 0.000

**Calculated total energy**: -6.652 eV/atom
**Spin magnetization**: 0.00 μB per formula unit
**Space-group type**: C2/m
**E_form**: -121 meV per atom


| no. | DOS at the Fermi energy (states/eV per atom) |
| --- | --- |
| 1 | 0.972 |
| 2 | 1.014 |
| 3 | 0.857 |
| 4 | 0.855 |
| 5 | 0.700 |
| 6 | 0.839 |
| 7 | 1.372 |
| 8 | 1.093 |
| 9 | 0.491 |
| 10 | 0.773 |
| 11 | 0.494 |
| 12 | 1.065 |
| 13 | 0.731 |
| 14 | 0.774 |
| 15 | 0.427 |
| 16 | 3.139 |
| 17 | 0.888 |
| 18 | 0.728 |
| 19 | 1.093 |
| 20 | 1.185 |